# 1
Below is a geometry-optimized Sr2V2P structure, with properties calculated at the PBE level.

Cell: 10.303 10.303 10.303 Å, 160.57 160.57 27.61°
Fractional positions:
Sr  0.091  0.091  0.000
Sr  0.909  0.909  0.000
V  0.250  0.750  0.500
V  0.750  0.250  0.500
P  0.500  0.500  0.000

Computed properties:
- size of the total moment (μB per formula unit) = 0.0
- formation energy (meV/atom) = 151.4
- space-group type = I4/mmm, No. 139
- crystal system = tetragonal
- calculated density (g/cm3) = 4.2
- E_tot (eV/atom) = -5.25

# 2
Below is a geometry-optimized SrVP2 structure, with properties calculated at the PBE level.

Cell: 6.342 6.342 6.342 Å, 113.65 113.65 101.40°
Fractional positions:
Sr  0.000  0.000  0.000
Sr  0.750  0.250  0.500
V  0.250  0.750  0.500
V  0.500  0.500  0.000
P  0.211  0.125  0.586
P  0.375  0.789  0.914
P  0.539  0.625  0.414
P  0.875  0.461  0.086

Computed properties:
- size of the total moment (μB per formula unit) = 1.0
- formation energy (meV/atom) = -541.3
- space-group type = I-42d, No. 122
- crystal system = tetragonal
- calculated density (g/cm3) = 3.4
- E_tot (eV/atom) = -5.95

Q: Look up the calculated density of the second one.
A: 3.4 g/cm3

Q: calculated density of number 2 (SrVP2)?
A: 3.4 g/cm3

Q: Which formula does entry 1 have?
A: Sr2V2P